# 1
Computed, not measured: crystalline ReAu4 at its relaxed geometry at the GGA-PBE level of DFT.

Its formation energy is 875 meV per atom. As for the space-group type: I4/mmm (139). As for the crystal system: tetragonal.

a b c (Å): 7.555 7.555 7.555
angles (deg): 151.23 151.23 41.14
Element x y z (fractional)
Re1 0.000 0.000 0.000
Au1 0.250 0.750 0.500
Au2 0.405 0.405 0.000
Au3 0.595 0.595 0.000
Au4 0.750 0.250 0.500

=====

# 2
Computed, not measured: crystalline ReAu5 at its relaxed geometry at the GGA-PBE level of DFT.

Its formation energy is 748 meV per atom. As for the space-group type: F-43m (216). As for the crystal system: cubic.

a b c (Å): 5.436 5.436 5.436
angles (deg): 60.00 60.00 60.00
Element x y z (fractional)
Re1 0.000 0.000 0.000
Au1 0.125 0.625 0.625
Au2 0.250 0.250 0.250
Au3 0.625 0.125 0.625
Au4 0.625 0.625 0.125
Au5 0.625 0.625 0.625

=====

# 3
Computed, not measured: crystalline ReAu2 at its relaxed geometry at the GGA-PBE level of DFT.

Its formation energy is 499 meV per atom. As for the space-group type: I4_1/amd (141). As for the crystal system: tetragonal.

a b c (Å): 13.799 13.799 13.799
angles (deg): 168.57 168.57 16.19
Element x y z (fractional)
Re1 0.375 0.625 0.750
Re2 0.625 0.375 0.250
Au1 0.047 0.797 0.250
Au2 0.203 0.953 0.250
Au3 0.797 0.047 0.750
Au4 0.953 0.203 0.750

=====

# 4
Computed, not measured: crystalline Re5Au at its relaxed geometry at the GGA-PBE level of DFT.

Its formation energy is 669 meV per atom. As for the space-group type: P6/mmm (191). As for the crystal system: hexagonal.

a b c (Å): 5.080 5.080 4.606
angles (deg): 90.00 90.00 120.00
Element x y z (fractional)
Re1 0.000 0.500 0.000
Re2 0.333 0.667 0.500
Re3 0.500 0.000 0.000
Re4 0.500 0.500 0.000
Re5 0.667 0.333 0.500
Au1 0.000 0.000 0.500

=====

# 5
Computed, not measured: crystalline ReAu2 at its relaxed geometry at the GGA-PBE level of DFT.

Its formation energy is 576 meV per atom. As for the space-group type: I4/mcm (140). As for the crystal system: tetragonal.

a b c (Å): 5.302 5.302 5.302
angles (deg): 102.47 102.47 124.63
Element x y z (fractional)
Re1 0.250 0.250 0.000
Re2 0.750 0.750 0.000
Au1 0.155 0.655 0.809
Au2 0.345 0.155 0.500
Au3 0.655 0.845 0.500
Au4 0.845 0.345 0.191

=====

# 6
Computed, not measured: crystalline ReAu4 at its relaxed geometry at the GGA-PBE level of DFT.

Its formation energy is 505 meV per atom. As for the space-group type: I4/m (87). As for the crystal system: tetragonal.

a b c (Å): 5.048 5.048 5.048
angles (deg): 99.74 99.74 131.44
Element x y z (fractional)
Re1 0.000 0.000 0.000
Au1 0.204 0.605 0.809
Au2 0.395 0.204 0.599
Au3 0.605 0.796 0.401
Au4 0.796 0.395 0.191

=====

# 7
Computed, not measured: crystalline Re5Au3 at its relaxed geometry at the GGA-PBE level of DFT.

Its formation energy is 520 meV per atom. As for the space-group type: P-1 (2). As for the crystal system: triclinic.

a b c (Å): 4.913 7.664 8.008
angles (deg): 82.24 73.63 72.09
Element x y z (fractional)
Re1 0.069 0.200 0.180
Re2 0.218 0.226 0.839
Re3 0.243 0.659 0.274
Re4 0.267 0.511 0.950
Re5 0.410 0.311 0.297
Re6 0.590 0.689 0.703
Re7 0.733 0.489 0.050
Re8 0.757 0.341 0.726
Re9 0.782 0.774 0.161
Re10 0.931 0.800 0.820
Au1 0.207 0.517 0.599
Au2 0.305 0.926 0.456
Au3 0.308 0.889 0.988
Au4 0.692 0.111 0.012
Au5 0.695 0.074 0.544
Au6 0.793 0.483 0.401

=====

# 8
Computed, not measured: crystalline ReAu2 at its relaxed geometry at the GGA-PBE level of DFT.

Its formation energy is 616 meV per atom. As for the space-group type: P4/mmm (123). As for the crystal system: tetragonal.

a b c (Å): 4.827 4.827 2.677
angles (deg): 90.00 90.00 90.00
Element x y z (fractional)
Re1 0.000 0.000 0.000
Au1 0.000 0.500 0.500
Au2 0.500 0.000 0.500